[1]
Here is TbErHg5 after structural relaxation from Alexandria. Energies are from PBE.

- crystal system = tetragonal

Cell: 4.6148 4.6148 8.6216 Å, 90.00 90.00 90.00°
Closest atoms and distances in Å follow each position.
Fractional coordinates of all 7 atoms:
1 Hg 0.5000 0.5000 0.5000  8 Hg 3.22, 4 Er 3.26
2 Hg 0.5000 0.0000 0.7601  2 Tb 3.10, 2 Er 3.22, 6 Hg 3.22-3.26
3 Hg 0.0000 0.5000 0.2399  2 Tb 3.10, 6 Hg 3.22-3.26, 2 Er 3.22
4 Hg 0.0000 0.5000 0.7601  2 Tb 3.10, 6 Hg 3.22-3.26, 2 Er 3.22
5 Hg 0.5000 0.0000 0.2399  2 Tb 3.10, 2 Er 3.22, 6 Hg 3.22-3.26
6 Tb 0.5000 0.5000 0.0000  8 Hg 3.10
7 Er 0.0000 0.0000 0.5000  12 Hg 3.22-3.26

=====

[2]
Here is Tb2ErHg after structural relaxation from Alexandria. Energies are from PBE.

- crystal system = trigonal
- offset from the most stable computed form (meV per atom) = 67.1

Cell: 3.6384 3.6384 10.6661 Å, 80.17 80.17 60.07°
Closest atoms and distances in Å follow each position.
Fractional coordinates of all 4 atoms:
1 Hg 0.6665 0.6665 0.0004  6 Tb 3.19-3.20
2 Er 0.4998 0.4998 0.4999  6 Tb 3.51-3.52, 6 Er 3.64
3 Tb 0.2565 0.2565 0.2304  3 Hg 3.19, 3 Er 3.51-3.52
4 Tb 0.0772 0.0772 0.7693  3 Hg 3.20, 3 Er 3.51-3.52

=====

[3]
Here is Tb8ErHg2 after structural relaxation from Alexandria. Energies are from PBE.

- crystal system = monoclinic

Cell: 5.5459 8.6755 8.6755 Å, 118.96 100.44 100.44°
Closest atoms and distances in Å follow each position.
Fractional coordinates of all 11 atoms:
1 Tb 0.5000 0.2238 0.7762  2 Hg 3.03, 1 Er 3.34
2 Tb 0.1056 0.0923 0.3198  2 Hg 3.09-3.34, 2 Tb 3.39-3.40
3 Tb 0.8944 0.6802 0.9077  2 Hg 3.09-3.34, 2 Tb 3.39-3.40
4 Tb 0.8944 0.9077 0.6802  2 Hg 3.09-3.34, 2 Tb 3.39-3.40
5 Tb 0.1056 0.3198 0.0923  2 Hg 3.09-3.34, 2 Tb 3.39-3.40
6 Tb 0.2998 0.6024 0.6024  2 Tb 3.17-3.32, 1 Er 3.28, 2 Hg 3.30
7 Tb 0.7002 0.3976 0.3976  2 Tb 3.17-3.32, 1 Er 3.28, 2 Hg 3.30
8 Tb 0.5000 0.7762 0.2238  2 Hg 3.03, 1 Er 3.34
9 Hg 0.0000 0.3059 0.6941  8 Tb 3.03-3.34
10 Hg 0.0000 0.6941 0.3059  8 Tb 3.03-3.34
11 Er 0.5000 0.0000 0.0000  8 Tb 3.28-3.62

=====

[4]
Here is Tb5Er4Hg after structural relaxation from Alexandria. Energies are from PBE.

- crystal system = tetragonal

Cell: 3.5537 3.5537 23.9603 Å, 90.00 90.00 90.00°
Closest atoms and distances in Å follow each position.
Fractional coordinates of all 10 atoms:
1 Hg 0.0000 0.0000 0.0000  8 Tb 3.24, 4 Hg 3.55
2 Er 0.0000 0.0000 0.1894  8 Tb 3.53-3.54, 4 Er 3.55
3 Er 0.0000 0.0000 0.3965  8 Tb 3.53, 4 Er 3.55
4 Er 0.0000 0.0000 0.6035  8 Tb 3.53, 4 Er 3.55
5 Er 0.0000 0.0000 0.8106  8 Tb 3.53-3.54, 4 Er 3.55
6 Tb 0.5000 0.5000 0.0852  4 Hg 3.24, 4 Er 3.54, 4 Tb 3.55
7 Tb 0.5000 0.5000 0.9148  4 Hg 3.24, 4 Er 3.54, 4 Tb 3.55
8 Tb 0.5000 0.5000 0.2927  8 Er 3.53, 4 Tb 3.55
9 Tb 0.5000 0.5000 0.5000  8 Er 3.53, 4 Tb 3.55
10 Tb 0.5000 0.5000 0.7073  8 Er 3.53, 4 Tb 3.55

=====

[5]
Here is Tb6ErHg2 after structural relaxation from Alexandria. Energies are from PBE.

- crystal system = monoclinic

Cell: 3.7296 6.5704 11.6355 Å, 75.56 80.78 73.51°
Closest atoms and distances in Å follow each position.
Fractional coordinates of all 9 atoms:
1 Hg 0.6409 0.9194 0.7987  2 Er 3.10, 6 Tb 3.18-3.30
2 Hg 0.3591 0.0806 0.2013  2 Er 3.10, 6 Tb 3.18-3.30
3 Tb 0.6878 0.5010 0.1235  2 Hg 3.20, 5 Tb 3.40-3.52
4 Tb 0.6889 0.2090 0.4133  2 Hg 3.30, 8 Tb 3.44-3.57
5 Tb 0.3111 0.7910 0.5867  2 Hg 3.30, 8 Tb 3.44-3.57
6 Tb 0.9826 0.6974 0.3375  2 Hg 3.18, 5 Tb 3.52-3.54
7 Tb 0.3122 0.4990 0.8765  2 Hg 3.20, 5 Tb 3.40-3.52
8 Tb 0.0174 0.3026 0.6625  2 Hg 3.18, 5 Tb 3.52-3.54
9 Er 0.0000 0.0000 0.0000  4 Hg 3.10

=====

[6]
Here is TbEr3Hg2 after structural relaxation from Alexandria. Energies are from PBE.

- crystal system = tetragonal
- offset from the most stable computed form (meV per atom) = 58.7

Cell: 3.6579 3.6579 12.2964 Å, 90.00 90.00 90.00°
Closest atoms and distances in Å follow each position.
Fractional coordinates of all 6 atoms:
1 Er 0.0000 0.0000 0.3024  4 Hg 3.18, 4 Tb 3.55
2 Er 0.0000 0.0000 0.6976  4 Hg 3.18, 4 Tb 3.55
3 Er 0.0000 0.0000 0.0000  8 Hg 3.19
4 Hg 0.5000 0.5000 0.1521  8 Er 3.18-3.19
5 Hg 0.5000 0.5000 0.8479  8 Er 3.18-3.19
6 Tb 0.5000 0.5000 0.5000  8 Er 3.55, 4 Tb 3.66

=====

[7]
Here is Tb2Er2Hg after structural relaxation from Alexandria. Energies are from PBE.

- crystal system = tetragonal
- offset from the most stable computed form (meV per atom) = 140.3

Cell: 5.0468 5.0468 12.8386 Å, 101.34 101.34 90.00°
Closest atoms and distances in Å follow each position.
Fractional coordinates of all 10 atoms:
1 Tb 0.6738 0.6738 0.3476  2 Hg 3.15, 2 Tb 3.49
2 Tb 0.4238 0.9238 0.8476  2 Hg 3.15, 2 Tb 3.49
3 Tb 0.0762 0.5762 0.1524  2 Hg 3.15, 2 Tb 3.49
4 Tb 0.3262 0.3262 0.6524  2 Hg 3.15, 2 Tb 3.49
5 Er 0.9272 0.4272 0.8543  2 Hg 3.10
6 Er 0.1772 0.1772 0.3543  2 Hg 3.10
7 Er 0.8228 0.8228 0.6457  2 Hg 3.10
8 Er 0.5728 0.0728 0.1457  2 Hg 3.10
9 Hg 0.2500 0.7500 0.5000  4 Er 3.10, 4 Tb 3.15
10 Hg 0.5000 0.5000 0.0000  4 Er 3.10, 4 Tb 3.15

=====

[8]
Here is TbEr2Hg6 after structural relaxation from Alexandria. Energies are from PBE.

- crystal system = tetragonal
- offset from the most stable computed form (meV per atom) = 237.9

Cell: 4.4928 4.4928 13.1476 Å, 99.84 99.84 90.00°
Closest atoms and distances in Å follow each position.
Fractional coordinates of all 9 atoms:
1 Hg 0.0847 0.5847 0.1695  2 Er 3.08, 2 Tb 3.12, 4 Hg 3.18
2 Hg 0.9153 0.4153 0.8305  2 Er 3.08, 2 Tb 3.12, 4 Hg 3.18
3 Hg 0.5847 0.0847 0.1695  2 Er 3.08, 2 Tb 3.12, 4 Hg 3.18
4 Hg 0.2500 0.7500 0.5000  4 Er 3.08, 4 Hg 3.18
5 Hg 0.7500 0.2500 0.5000  4 Er 3.08, 4 Hg 3.18
6 Hg 0.4153 0.9153 0.8305  2 Er 3.08, 2 Tb 3.12, 4 Hg 3.18
7 Tb 0.0000 0.0000 0.0000  8 Hg 3.12
8 Er 0.3326 0.3326 0.6653  8 Hg 3.08
9 Er 0.6674 0.6674 0.3347  8 Hg 3.08

=====

Number 1: formation enthalpy at 0 K -1.79 eV/f.u.. Number 2: formation enthalpy at 0 K -0.62 eV/f.u.. Number 3: formation enthalpy at 0 K -0.56 eV/f.u.. Number 4: formation enthalpy at 0 K -0.77 eV/f.u.. Number 5: formation enthalpy at 0 K -1.89 eV/f.u.. Number 6: formation enthalpy at 0 K -1.83 eV/f.u.. Number 7: formation enthalpy at 0 K -0.19 eV/f.u.. Number 8: formation enthalpy at 0 K -1.36 eV/f.u..